Computed, not measured: a relaxed structure of PrDy2Y5Ho at the GGA-PBE level of DFT.

Lattice parameters (Å, degrees): 9.7421 9.7421 9.7421 125.21 125.21 81.20
Closest atoms and distances in Å follow each position.
Element x y z (fractional)
Pr 0.2500 0.2500 0.0000  10 Y 3.66-3.70
Pr 0.7500 0.7500 0.0000  10 Y 3.66-3.70
Dy 0.1125 0.6125 0.7249  1 Dy 2.85, 2 Y 3.03
Dy 0.3875 0.1125 0.5000  1 Dy 2.85, 2 Y 3.03
Dy 0.6125 0.8875 0.5000  1 Dy 2.85, 2 Y 3.03
Dy 0.8875 0.3875 0.2751  1 Dy 2.85, 2 Y 3.03
Y 0.0000 0.0000 0.0000  4 Dy 3.62, 2 Pr 3.70, 8 Y 3.77
Y 0.0728 0.1629 0.5000  1 Dy 3.03, 1 Ho 3.13
Y 0.1629 0.6629 0.0901  1 Dy 3.03, 1 Ho 3.13
Y 0.3371 0.4272 0.5000  1 Dy 3.03, 1 Ho 3.13
Y 0.4272 0.9272 0.0901  1 Dy 3.03, 1 Ho 3.13
Y 0.5000 0.5000 0.0000  4 Dy 3.62, 2 Pr 3.70, 8 Y 3.77
Y 0.5728 0.0728 0.9099  1 Dy 3.03, 1 Ho 3.13
Y 0.6629 0.5728 0.5000  1 Dy 3.03, 1 Ho 3.13
Y 0.8371 0.3371 0.9099  1 Dy 3.03, 1 Ho 3.13
Y 0.9272 0.8371 0.5000  1 Dy 3.03, 1 Ho 3.13
Ho 0.2500 0.7500 0.5000  4 Y 3.13
Ho 0.7500 0.2500 0.5000  4 Y 3.13

Total magnetic moment, μB/atom: 0.000
Mass density, kg/m3: 6006
Space-group type: I4/mcm (140)
Total DFT energy (no corrections), eV per atom: -5.379
DFT formation energy, meV per atom: 274

---

Computed, not measured: a relaxed structure of TeAsIrAu at the GGA-PBE level of DFT.

Lattice parameters (Å, degrees): 4.3699 4.3699 6.8173 109.88 109.88 46.81
Closest atoms and distances in Å follow each position.
Element x y z (fractional)
Te 0.0000 0.0000 0.0000  2 Ir 2.71, 3 Au 2.75-2.95
As 0.3543 0.3543 0.4224  3 Ir 2.44-2.48, 1 Au 2.54
Ir 0.6248 0.6248 0.3276  3 As 2.44-2.48, 2 Te 2.71
Au 0.6415 0.6415 0.7479  1 As 2.54, 1 Te 2.75, 1 Ir 2.82

Total magnetic moment, μB/atom: 0.000
Mass density, kg/m3: 11145
Space-group type: Cm (8)
ΔE_f (raw), meV per atom: -5
Total DFT energy (no corrections), eV per atom: -4.987
Polymorph energy (0 for the lowest one), eV/atom: 0.070

---

Computed, not measured: a relaxed structure of Sm2Zn12GaCu3 at the GGA-PBE level of DFT.

Lattice parameters (Å, degrees): 7.6963 7.6963 7.6963 67.10 67.10 67.10
Closest atoms and distances in Å follow each position.
Element x y z (fractional)
Sm 0.0998 0.0998 0.0998  6 Zn 2.99-3.18
Sm 0.9002 0.9002 0.9002  6 Zn 2.99-3.18
Zn 0.1403 0.6377 0.6377  1 Cu 2.46, 1 Ga 2.49, 4 Zn 2.60-2.64
Zn 0.1488 0.1488 0.5170  2 Cu 2.46, 2 Zn 2.60
Zn 0.1488 0.5170 0.1488  2 Cu 2.46, 2 Zn 2.60
Zn 0.3623 0.3623 0.8597  1 Cu 2.46, 1 Ga 2.49, 4 Zn 2.60-2.64
Zn 0.3623 0.8597 0.3623  1 Cu 2.46, 1 Ga 2.49, 4 Zn 2.60-2.64
Zn 0.4830 0.8512 0.8512  2 Cu 2.46, 2 Zn 2.60
Zn 0.5170 0.1488 0.1488  2 Cu 2.46, 2 Zn 2.60
Zn 0.6377 0.1403 0.6377  1 Cu 2.46, 1 Ga 2.49, 4 Zn 2.60-2.64
Zn 0.6377 0.6377 0.1403  1 Cu 2.46, 1 Ga 2.49, 4 Zn 2.60-2.64
Zn 0.8512 0.4830 0.8512  2 Cu 2.46, 2 Zn 2.60
Zn 0.8512 0.8512 0.4830  2 Cu 2.46, 2 Zn 2.60
Zn 0.8597 0.3623 0.3623  1 Cu 2.46, 1 Ga 2.49, 4 Zn 2.60-2.64
Ga 0.5000 0.5000 0.5000  6 Zn 2.49
Cu 0.0000 0.5000 0.5000  6 Zn 2.46
Cu 0.5000 0.0000 0.5000  6 Zn 2.46
Cu 0.5000 0.5000 0.0000  6 Zn 2.46

Total magnetic moment, μB/atom: 0.000
Mass density, kg/m3: 6019
Space-group type: R-3m (166)
Total DFT energy (no corrections), eV per atom: -1.999
DFT formation energy, meV per atom: 225

---

Computed, not measured: a relaxed structure of NpCdIrRh at the GGA-PBE level of DFT.

Lattice parameters (Å, degrees): 4.7061 4.7061 4.7061 60.00 60.00 60.00
Closest atoms and distances in Å follow each position.
Element x y z (fractional)
Np 0.0000 0.0000 0.0000  4 Rh 2.88, 4 Ir 2.88
Cd 0.5000 0.5000 0.5000  4 Ir 2.88, 4 Rh 2.88
Ir 0.7500 0.7500 0.7500  4 Cd 2.88, 4 Np 2.88
Rh 0.2500 0.2500 0.2500  4 Cd 2.88, 4 Np 2.88

Total magnetic moment, μB/atom: 0.747
Mass density, kg/m3: 14522
Space-group type: F-43m (216)
Total DFT energy (no corrections), eV per atom: -7.731
DFT formation energy, meV per atom: -214

---

Computed, not measured: a relaxed structure of Zr2TaCl at the GGA-PBE level of DFT.

Lattice parameters (Å, degrees): 3.4942 3.2105 8.0486 90.00 90.05 90.00
Closest atoms and distances in Å follow each position.
Element x y z (fractional)
Zr 0.0006 0.0000 0.2157  2 Cl 2.80, 4 Ta 2.94
Zr 0.9994 0.0000 0.7843  2 Cl 2.80, 4 Ta 2.94
Ta 0.5000 0.5000 0.0000  8 Zr 2.94, 2 Ta 3.21
Cl 0.0000 0.5000 0.5000  4 Zr 2.80

Total magnetic moment, μB/atom: 0.000
Mass density, kg/m3: 7335
Space-group type: P2/m (10)
ΔE_f (raw), meV per atom: -415
Total DFT energy (no corrections), eV per atom: -8.114
Polymorph energy (0 for the lowest one), eV/atom: 0.000

---

Computed, not measured: a relaxed structure of AsWCl2 at the GGA-PBE level of DFT.

Lattice parameters (Å, degrees): 3.1574 3.1574 12.2321 90.00 90.00 126.04
Closest atoms and distances in Å follow each position.
Element x y z (fractional)
As 0.0000 0.0000 0.0000  6 As 2.86-3.16
W 0.0000 0.0000 0.5000  4 Cl 2.43
Cl 0.5000 0.5000 0.3392  2 W 2.43
Cl 0.5000 0.5000 0.6608  2 W 2.43

Total magnetic moment, μB/atom: 0.226
Mass density, kg/m3: 5552
Space-group type: Cmmm (65)
ΔE_f (raw), meV per atom: 254
Total DFT energy (no corrections), eV per atom: -5.070
Polymorph energy (0 for the lowest one), eV/atom: 0.505

---

Computed, not measured: a relaxed structure of CaZn2Cr at the GGA-PBE level of DFT.

Lattice parameters (Å, degrees): 8.8142 8.8142 8.8142 21.97 21.97 21.97
Closest atoms and distances in Å follow each position.
Element x y z (fractional)
Ca 0.0000 0.0000 0.0000  6 Zn 3.12, 6 Ca 3.36
Zn 0.2385 0.2385 0.2385  3 Cr 2.68
Zn 0.7615 0.7615 0.7615  3 Cr 2.68
Cr 0.5000 0.5000 0.5000  6 Zn 2.68

Total magnetic moment, μB/atom: 0.854
Mass density, kg/m3: 4404
Space-group type: R-3m (166)
Total DFT energy (no corrections), eV per atom: -3.168
DFT formation energy, meV per atom: 375

---

Computed, not measured: a relaxed structure of BaP3Br at the GGA-PBE level of DFT.

Lattice parameters (Å, degrees): 6.4115 6.4115 6.4115 90.00 90.00 90.00
Closest atoms and distances in Å follow each position.
Element x y z (fractional)
Ba 0.0000 0.0000 0.0000  6 P 3.21
P 0.0000 0.0000 0.5000  2 Ba 3.21
P 0.0000 0.5000 0.0000  2 Ba 3.21
P 0.5000 0.0000 0.0000  2 Ba 3.21
Br 0.5000 0.5000 0.5000  12 P 4.53

Total magnetic moment, μB/atom: 1.600
Mass density, kg/m3: 1954
Space-group type: Pm-3m (221)
ΔE_f (raw), meV per atom: 1345
Total DFT energy (no corrections), eV per atom: -2.620
Polymorph energy (0 for the lowest one), eV/atom: 0.823

---

Computed, not measured: a relaxed structure of PmZrIrPd at the GGA-PBE level of DFT.

Lattice parameters (Å, degrees): 4.8600 4.8600 4.8600 60.00 60.00 60.00
Closest atoms and distances in Å follow each position.
Element x y z (fractional)
Pm 0.0000 0.0000 0.0000  4 Ir 2.98, 4 Pd 2.98
Zr 0.5000 0.5000 0.5000  4 Ir 2.98, 4 Pd 2.98
Ir 0.7500 0.7500 0.7500  4 Pm 2.98, 4 Zr 2.98
Pd 0.2500 0.2500 0.2500  4 Zr 2.98, 4 Pm 2.98

Total magnetic moment, μB/atom: 0.000
Mass density, kg/m3: 10942
Space-group type: F-43m (216)
Total DFT energy (no corrections), eV per atom: -7.469
DFT formation energy, meV per atom: -631

---

Computed, not measured: a relaxed structure of GdZrAg at the GGA-PBE level of DFT.

Lattice parameters (Å, degrees): 6.7193 6.7193 6.7193 150.72 150.72 41.88
Closest atoms and distances in Å follow each position.
Element x y z (fractional)
Gd 0.0000 0.0000 0.0000  4 Ag 3.26, 4 Zr 3.32, 4 Gd 3.40
Zr 0.3174 0.3174 0.0000  4 Ag 2.99, 4 Gd 3.32
Ag 0.6754 0.6754 0.0000  4 Zr 2.99, 4 Gd 3.26

Total magnetic moment, μB/atom: 2.456
Mass density, kg/m3: 8175
Space-group type: I4mm (107)
Total DFT energy (no corrections), eV per atom: -8.556
Polymorph energy (0 for the lowest one), eV/atom: 0.000
DFT formation energy, meV per atom: -63

---

Computed, not measured: a relaxed structure of Cs12K6As at the GGA-PBE level of DFT.

Lattice parameters (Å, degrees): 12.8811 12.8811 12.8811 102.45 102.45 102.45
Closest atoms and distances in Å follow each position.
Element x y z (fractional)
Cs 0.1420 0.7503 0.8355  3 K 4.58-5.05
Cs 0.1645 0.8580 0.2497  3 K 4.58-5.05
Cs 0.2258 0.5121 0.4277  1 As 3.50
Cs 0.2497 0.1645 0.8580  3 K 4.58-5.05
Cs 0.4277 0.2258 0.5121  1 As 3.50
Cs 0.4879 0.5723 0.7742  1 As 3.50
Cs 0.5121 0.4277 0.2258  1 As 3.50
Cs 0.5723 0.7742 0.4879  1 As 3.50
Cs 0.7503 0.8355 0.1420  3 K 4.58-5.05
Cs 0.7742 0.4879 0.5723  1 As 3.50
Cs 0.8355 0.1420 0.7503  3 K 4.58-5.05
Cs 0.8580 0.2497 0.1645  3 K 4.58-5.05
K 0.0235 0.1735 0.4892  1 K 4.46, 3 Cs 4.58-4.89
K 0.1735 0.4892 0.0235  1 K 4.46, 3 Cs 4.58-4.89
K 0.4892 0.0235 0.1735  1 K 4.46, 3 Cs 4.58-4.89
K 0.5108 0.9765 0.8265  1 K 4.46, 3 Cs 4.58-4.89
K 0.8265 0.5108 0.9765  1 K 4.46, 3 Cs 4.58-4.89
K 0.9765 0.8265 0.5108  1 K 4.46, 3 Cs 4.58-4.89
As 0.5000 0.5000 0.5000  6 Cs 3.50

Total magnetic moment, μB/atom: 0.000
Mass density, kg/m3: 1614
Space-group type: R-3 (148)
Total DFT energy (no corrections), eV per atom: -1.130
DFT formation energy, meV per atom: 1

---

Computed, not measured: a relaxed structure of PRu2W at the GGA-PBE level of DFT.

Lattice parameters (Å, degrees): 2.8285 3.9872 5.1479 90.00 104.74 90.00
Closest atoms and distances in Å follow each position.
Element x y z (fractional)
P 0.0000 0.0000 0.0000  4 Ru 2.42, 2 W 2.57
Ru 0.3606 0.5000 0.2332  2 P 2.42, 1 Ru 2.66
Ru 0.6394 0.5000 0.7668  2 P 2.42, 1 Ru 2.66
W 0.0000 0.0000 0.5000  2 P 2.57, 8 Ru 2.76-2.81, 2 W 2.83

Total magnetic moment, μB/atom: 0.000
Mass density, kg/m3: 12331
Space-group type: P2/m (10)
Total DFT energy (no corrections), eV per atom: -9.340
DFT formation energy, meV per atom: -111